(w)
Here is a relaxed structure of Sr2CuCl from Alexandria via LeMat-Bulk. Energies are from PBE.

Cell and atoms, written as extended XYZ:
```
4
Lattice="4.755 0.000 0.000 0.000 2.001 6.534 0.000 -2.001 6.534" Properties=species:S:1:pos:R:3 pbc="T T T"
Sr 0.000 0.000 0.000
Sr 2.378 0.000 3.384
Cu 2.378 0.000 6.920
Cl 0.000 0.000 10.071
```

Output
Fermi-level density of states (states/eV/cell): 3.271
Magnetic moment (μB per atom): 0.000

(x)
Here is a relaxed structure of Sr2CuCl from Alexandria via LeMat-Bulk. Energies are from PBE.

Cell and atoms, written as extended XYZ:
```
4
Lattice="2.144 1.238 7.992 -2.144 1.238 7.992 0.000 -2.476 7.992" Properties=species:S:1:pos:R:3 pbc="T T T"
Sr 0.000 0.000 0.000
Sr 0.000 0.000 4.456
Cu 0.000 0.000 14.190
Cl 0.000 0.000 18.344
```

Output
Fermi-level density of states (states/eV/cell): 1.077
Magnetic moment (μB per atom): 0.000

(y)
Here is a relaxed structure of Sr2CuCl from Alexandria via LeMat-Bulk. Energies are from PBE.

Cell and atoms, written as extended XYZ:
```
4
Lattice="-2.165 2.165 7.012 2.165 -2.165 7.012 2.165 2.165 -7.012" Properties=species:S:1:pos:R:3 pbc="T T T"
Sr 0.000 0.000 0.000
Sr 0.000 2.165 3.506
Cu 0.000 0.000 7.012
Cl 2.165 0.000 3.506
```

Output
Fermi-level density of states (states/eV/cell): 2.939
Magnetic moment (μB per atom): 0.000

(z)
Here is a relaxed structure of Sr2CuCl from Alexandria via LeMat-Bulk. Energies are from PBE.

Cell and atoms, written as extended XYZ:
```
4
Lattice="0.000 3.977 3.977 3.977 0.000 3.977 3.977 3.977 0.000" Properties=species:S:1:pos:R:3 pbc="T T T"
Sr 0.000 0.000 0.000
Sr 1.988 1.988 1.988
Cu 3.977 3.977 3.977
Cl 5.965 5.965 5.965
```

Output
Fermi-level density of states (states/eV/cell): 1.029
Magnetic moment (μB per atom): 0.000

Q: Which of them is the most stable? A: (x).

(w)
Here is a relaxed structure of SrCu2Cl from Alexandria via LeMat-Bulk. Energies are from PBE.

Cell and atoms, written as extended XYZ:
```
4
Lattice="3.099 -3.103 0.000 3.099 3.103 0.000 0.000 0.000 5.351" Properties=species:S:1:pos:R:3 pbc="T T T"
Sr 0.000 0.000 0.000
Cu 3.099 0.000 1.293
Cu 3.099 0.000 4.058
Cl 0.000 0.000 2.675
```

Output
Fermi-level density of states (states/eV/cell): 1.429
Magnetic moment (μB per atom): 0.000

(x)
Here is a relaxed structure of SrCu2Cl from Alexandria via LeMat-Bulk. Energies are from PBE.

Cell and atoms, written as extended XYZ:
```
4
Lattice="3.668 -2.114 0.000 3.668 2.114 0.000 -0.049 0.000 6.528" Properties=species:S:1:pos:R:3 pbc="T T T"
Sr 0.000 0.000 0.000
Cu 2.450 0.000 2.168
Cu 4.891 0.000 1.998
Cl 2.395 0.000 4.880
```

Output
Fermi-level density of states (states/eV/cell): 0.906
Magnetic moment (μB per atom): 0.000

(y)
Here is a relaxed structure of SrCu2Cl from Alexandria via LeMat-Bulk. Energies are from PBE.

Cell and atoms, written as extended XYZ:
```
4
Lattice="3.923 0.000 0.000 0.000 3.960 0.000 0.000 0.000 5.804" Properties=species:S:1:pos:R:3 pbc="T T T"
Sr 0.000 0.000 0.000
Cu 0.000 1.980 2.902
Cu 1.962 0.000 2.902
Cl 1.962 1.980 0.000
```

Output
Fermi-level density of states (states/eV/cell): 0.913
Magnetic moment (μB per atom): 0.000

Q: Which of them is the most stable? A: (x).

(w)
Here is a relaxed structure of SrCu2Cl from Alexandria via LeMat-Bulk. Energies are from PBE.

Cell and atoms, written as extended XYZ:
```
4
Lattice="-2.492 2.492 3.517 2.492 -2.492 3.517 2.492 2.492 -3.517" Properties=species:S:1:pos:R:3 pbc="T T T"
Sr 0.000 0.000 0.000
Cu 0.000 0.000 3.517
Cu 0.000 2.492 1.759
Cl 2.492 0.000 1.759
```

Output
Fermi-level density of states (states/eV/cell): 3.845
Magnetic moment (μB per atom): 0.000

(x)
Here is a relaxed structure of SrCu2Cl from Alexandria via LeMat-Bulk. Energies are from PBE.

Cell and atoms, written as extended XYZ:
```
8
Lattice="-4.310 4.310 2.680 4.310 -4.310 2.680 4.310 4.310 -2.680" Properties=species:S:1:pos:R:3 pbc="T T T"
Sr 0.000 0.000 0.000
Sr 0.000 4.310 1.340
Cu 2.155 -1.962 2.010
Cu 2.347 2.155 0.670
Cu 2.155 6.272 -0.670
Cu 1.962 2.155 3.350
Cl 4.310 0.000 1.340
Cl 0.000 0.000 2.680
```

Output
Fermi-level density of states (states/eV/cell): 2.851
Magnetic moment (μB per atom): 0.000

(y)
Here is a relaxed structure of SrCu2Cl from Alexandria via LeMat-Bulk. Energies are from PBE.

Cell and atoms, written as extended XYZ:
```
4
Lattice="0.000 3.572 3.572 3.572 0.000 3.572 3.572 3.572 0.000" Properties=species:S:1:pos:R:3 pbc="T T T"
Sr 0.000 0.000 0.000
Cu 1.786 1.786 1.786
Cu 5.358 5.358 5.358
Cl 3.572 3.572 3.572
```

Output
Fermi-level density of states (states/eV/cell): 8.006
Magnetic moment (μB per atom): 0.000

(z)
Here is a relaxed structure of SrCu2Cl from Alexandria via LeMat-Bulk. Energies are from PBE.

Cell and atoms, written as extended XYZ:
```
4
Lattice="3.647 0.000 0.000 0.000 3.626 0.000 -1.589 0.000 7.039" Properties=species:S:1:pos:R:3 pbc="T T T"
Sr 0.000 0.000 0.000
Cu 0.213 0.000 4.575
Cu 2.032 1.813 4.544
Cl 1.826 1.813 1.406
```

Output
Fermi-level density of states (states/eV/cell): 1.134
Magnetic moment (μB per atom): 0.000

Q: Which of them is the most stable? A: (z).